Below is a geometry-optimized HfScIn2Pt4 structure, with properties calculated at the PBE level.

Lattice parameters (Å, degrees): 4.5010 4.5010 8.6103 90.00 90.00 120.00
With the nearest neighbours (Å) after each atom.
Sites, in units of the cell vectors:
Hf 0.0000 0.0000 0.0000  8 Pt 2.91-2.93
Sc 0.6667 0.3333 0.5000  8 Pt 2.95-2.96
In 0.3333 0.6667 0.2585  6 Pt 2.69-2.74
In 0.3333 0.6667 0.7415  6 Pt 2.69-2.74
Pt 0.0000 0.0000 0.3382  3 In 2.69, 1 Pt 2.79, 1 Hf 2.91, 3 Sc 2.95
Pt 0.0000 0.0000 0.6618  3 In 2.69, 1 Pt 2.79, 1 Hf 2.91, 3 Sc 2.95
Pt 0.6667 0.3333 0.1567  1 Pt 2.70, 3 In 2.74, 3 Hf 2.93, 1 Sc 2.96
Pt 0.6667 0.3333 0.8433  1 Pt 2.70, 3 In 2.74, 3 Hf 2.93, 1 Sc 2.96

Total moment in μB per cell: 0.015
E_tot in eV/atom: -6.60

***

Below is a geometry-optimized Ta13Al2 structure, with properties calculated at the PBE level.

Lattice parameters (Å, degrees): 10.1780 10.1780 5.3480 90.00 90.00 90.00
With the nearest neighbours (Å) after each atom.
Sites, in units of the cell vectors:
Ta 0.0000 0.0000 0.0000  8 Ta 2.83-2.86, 4 Al 3.02
Ta 0.0385 0.3690 0.5000  5 Ta 2.78-2.88, 1 Al 2.83
Ta 0.0710 0.2691 0.0000  10 Ta 2.81-3.00
Ta 0.1310 0.5385 0.0000  5 Ta 2.78-2.88, 1 Al 2.83
Ta 0.1753 0.8247 0.2508  5 Ta 2.67-2.96
Ta 0.1753 0.8247 0.7492  5 Ta 2.67-2.96
Ta 0.2309 0.5710 0.5000  10 Ta 2.81-3.00
Ta 0.2691 0.0710 0.0000  10 Ta 2.81-3.00
Ta 0.3247 0.3247 0.2492  5 Ta 2.67-2.96
Ta 0.3247 0.3247 0.7508  5 Ta 2.67-2.96
Ta 0.3690 0.0385 0.5000  5 Ta 2.78-2.88, 1 Al 2.83
Ta 0.4290 0.7691 0.5000  10 Ta 2.81-3.00
Ta 0.4615 0.8690 0.0000  5 Ta 2.78-2.88, 1 Al 2.83
Ta 0.5000 0.5000 0.5000  8 Ta 2.83-2.86, 4 Al 3.02
Ta 0.5385 0.1310 0.0000  5 Ta 2.78-2.88, 1 Al 2.83
Ta 0.5710 0.2309 0.5000  10 Ta 2.81-3.00
Ta 0.6310 0.9615 0.5000  5 Ta 2.78-2.88, 1 Al 2.83
Ta 0.6753 0.6753 0.2492  5 Ta 2.67-2.96
Ta 0.6753 0.6753 0.7508  5 Ta 2.67-2.96
Ta 0.7309 0.9290 0.0000  10 Ta 2.81-3.00
Ta 0.7691 0.4290 0.5000  10 Ta 2.81-3.00
Ta 0.8247 0.1753 0.2508  5 Ta 2.67-2.96
Ta 0.8247 0.1753 0.7492  5 Ta 2.67-2.96
Ta 0.8690 0.4615 0.0000  5 Ta 2.78-2.88, 1 Al 2.83
Ta 0.9290 0.7309 0.0000  10 Ta 2.81-3.00
Ta 0.9615 0.6310 0.5000  5 Ta 2.78-2.88, 1 Al 2.83
Al 0.0974 0.0974 0.5000  1 Al 2.80, 4 Ta 2.83-3.02
Al 0.4026 0.5974 0.0000  1 Al 2.80, 4 Ta 2.83-3.02
Al 0.5974 0.4026 0.0000  1 Al 2.80, 4 Ta 2.83-3.02
Al 0.9026 0.9026 0.5000  1 Al 2.80, 4 Ta 2.83-3.02

Total moment in μB per cell: 0.004
E_tot in eV/atom: -10.64

***

Below is a geometry-optimized PrZrTl structure, with properties calculated at the PBE level.

Lattice parameters (Å, degrees): 5.0888 5.0888 5.0888 60.00 60.00 60.00
With the nearest neighbours (Å) after each atom.
Sites, in units of the cell vectors:
Pr 0.0000 0.0000 0.0000  4 Tl 3.12
Zr 0.5000 0.5000 0.5000  4 Tl 3.12
Tl 0.2500 0.2500 0.2500  4 Zr 3.12, 4 Pr 3.12

Total moment in μB per cell: 0.028
Offset from the most stable computed form in meV per atom: 0

***

Below is a geometry-optimized CdSeO4 structure, with properties calculated at the PBE level.

Lattice parameters (Å, degrees): 6.7119 4.8596 4.9330 90.00 90.00 90.00
With the nearest neighbours (Å) after each atom.
Sites, in units of the cell vectors:
Cd 0.0000 0.1311 0.0000  4 O 2.24-2.32
Cd 0.5000 0.8689 0.5000  4 O 2.24-2.32
Se 0.0000 0.6558 0.4756  4 O 1.66-1.68
Se 0.5000 0.3442 0.9756  4 O 1.66-1.68
O 0.0000 0.3190 0.4165  1 Se 1.66
O 0.0000 0.6945 0.8114  1 Se 1.67
O 0.1950 0.8088 0.3239  1 Se 1.68
O 0.3050 0.1912 0.8239  1 Se 1.68
O 0.5000 0.3055 0.3114  1 Se 1.67
O 0.5000 0.6810 0.9165  1 Se 1.66
O 0.6950 0.1912 0.8239  1 Se 1.68
O 0.8050 0.8088 0.3239  1 Se 1.68

E_tot in eV/atom: -4.86

***

Below is a geometry-optimized Pr3Mg3Zn2Hg structure, with properties calculated at the PBE level.

Lattice parameters (Å, degrees): 7.4659 7.4659 4.7153 90.00 90.00 120.00
With the nearest neighbours (Å) after each atom.
Sites, in units of the cell vectors:
Pr 0.0000 0.4252 0.0000  1 Hg 3.17, 4 Zn 3.24, 2 Mg 3.42
Pr 0.4252 0.0000 0.0000  1 Hg 3.17, 4 Zn 3.24, 2 Mg 3.42
Pr 0.5748 0.5748 0.0000  1 Hg 3.17, 4 Zn 3.24, 2 Mg 3.42
Mg 0.0000 0.7572 0.5000  2 Zn 2.89, 2 Hg 2.97, 2 Mg 3.14
Mg 0.2428 0.2428 0.5000  2 Zn 2.89, 2 Hg 2.97, 2 Mg 3.14
Mg 0.7572 0.0000 0.5000  2 Zn 2.89, 2 Hg 2.97, 2 Mg 3.14
Zn 0.3333 0.6667 0.5000  3 Mg 2.89
Zn 0.6667 0.3333 0.5000  3 Mg 2.89
Hg 0.0000 0.0000 0.0000  6 Mg 2.97, 3 Pr 3.17

Total moment in μB per cell: 0.002
E_tot in eV/atom: -2.73

***

Below is a geometry-optimized AcMgFe structure, with properties calculated at the PBE level.

Lattice parameters (Å, degrees): 4.8600 4.8600 4.8600 60.00 60.00 60.00
With the nearest neighbours (Å) after each atom.
Sites, in units of the cell vectors:
Ac 0.0000 0.0000 0.0000  4 Fe 2.98
Mg 0.5000 0.5000 0.5000  4 Fe 2.98
Fe 0.2500 0.2500 0.2500  4 Mg 2.98, 4 Ac 2.98

Total moment in μB per cell: 1.493
Offset from the most stable computed form in meV per atom: 0

***

Below is a geometry-optimized ErCuTe2PbSe structure, with properties calculated at the PBE level.

Lattice parameters (Å, degrees): 7.5728 7.5728 10.5821 90.00 90.00 147.69
With the nearest neighbours (Å) after each atom.
Sites, in units of the cell vectors:
Er 0.0000 0.0000 0.0000  2 Se 2.84, 4 Te 3.06
Er 0.0000 0.0000 0.5000  2 Se 2.84, 4 Te 3.06
Cu 0.4740 0.5260 0.7500  2 Se 2.53, 2 Te 2.66
Cu 0.5260 0.4740 0.2500  2 Se 2.53, 2 Te 2.66
Te 0.3541 0.6459 0.5607  1 Cu 2.66
Te 0.3541 0.6459 0.9393  1 Cu 2.66
Te 0.6459 0.3541 0.0607  1 Cu 2.66
Te 0.6459 0.3541 0.4393  1 Cu 2.66
Pb 0.2578 0.7422 0.2500  2 Se 3.26, 6 Te 3.33-3.57
Pb 0.7422 0.2578 0.7500  2 Se 3.26, 6 Te 3.33-3.57
Se 0.0708 0.9292 0.7500  2 Cu 2.53
Se 0.9292 0.0708 0.2500  2 Cu 2.53

Total moment in μB per cell: 0.003
E_tot in eV/atom: -4.43

***

Below is a geometry-optimized Cu5Ag4 structure, with properties calculated at the PBE level.

Lattice parameters (Å, degrees): 7.1771 7.1771 6.6873 92.83 92.83 22.29
With the nearest neighbours (Å) after each atom.
Sites, in units of the cell vectors:
Cu 0.0000 0.0000 0.0000  7 Cu 2.53-2.77, 4 Ag 2.76-2.77
Cu 0.3450 0.3450 0.0063  8 Cu 2.57-2.77, 4 Ag 2.74-2.83
Cu 0.5547 0.5547 0.3104  6 Cu 2.53-2.77, 3 Ag 2.66-2.73
Cu 0.7820 0.7820 0.7004  4 Cu 2.59-2.77, 7 Ag 2.65-2.75
Cu 0.9048 0.9048 0.3105  7 Cu 2.53-2.77, 4 Ag 2.69-2.73
Ag 0.1139 0.1139 0.6463  5 Cu 2.73-2.92, 7 Ag 2.75-2.85
Ag 0.2431 0.2431 0.3509  7 Cu 2.69-2.99, 5 Ag 2.75-2.84
Ag 0.4397 0.4397 0.6577  8 Cu 2.65-2.90, 4 Ag 2.77-2.82
Ag 0.6697 0.6697 0.0062  6 Cu 2.65-2.83, 6 Ag 2.77-2.85

Offset from the most stable computed form in meV per atom: 51
Energy of formation in eV/atom: 0.09